(1)
AgHgPSe2 | PBE-GGA | optimized geometry

Values from the calculation:
* raw formation energy: 1.12 eV/atom
* energy relative to the lowest polymorph listed for this composition: 0.138 eV per atom
* crystal system: tetragonal
* total DFT energy (no corrections): -1.99 eV/atom

CIF file:
```
data_AgHgPSe2
_chemical_formula_sum 'Ag1 Hg1 P1 Se2'
_space_group_name_H-M_alt 'P 1'
_space_group_IT_number 1
_cell_length_a 5.281
_cell_length_b 5.262
_cell_length_c 5.281
_cell_angle_alpha 90.00
_cell_angle_beta 90.00
_cell_angle_gamma 90.00
loop_
_space_group_symop_operation_xyz
'x,y,z'
loop_
_atom_site_label
_atom_site_fract_x
_atom_site_fract_y
_atom_site_fract_z
Ag1 0.000 0.500 0.000
Se1 0.000 0.000 0.500
Se2 0.500 0.000 0.000
Hg1 0.000 0.000 0.000
P1 0.500 0.500 0.500
```

***

(2)
SrAuBr3 | PBE-GGA | optimized geometry

Values from the calculation:
* raw formation energy: -0.67 eV/atom
* energy relative to the lowest polymorph listed for this composition: 0.607 eV per atom
* crystal system: cubic
* total DFT energy (no corrections): -2.66 eV/atom

CIF file:
```
data_SrAuBr3
_chemical_formula_sum 'Sr1 Au1 Br3'
_space_group_name_H-M_alt 'P 1'
_space_group_IT_number 1
_cell_length_a 5.904
_cell_length_b 5.904
_cell_length_c 5.904
_cell_angle_alpha 90.00
_cell_angle_beta 90.00
_cell_angle_gamma 90.00
loop_
_space_group_symop_operation_xyz
'x,y,z'
loop_
_atom_site_label
_atom_site_fract_x
_atom_site_fract_y
_atom_site_fract_z
Br1 0.500 0.000 0.000
Br2 0.000 0.000 0.500
Br3 0.000 0.500 0.000
Au1 0.500 0.500 0.500
Sr1 0.000 0.000 0.000
```

***

(3)
Ca2TaPN5 | PBE-GGA | optimized geometry

Values from the calculation:
* raw formation energy: -0.80 eV/atom
* crystal system: orthorhombic
* total DFT energy (no corrections): -7.78 eV/atom

CIF file:
```
data_Ca2TaPN5
_chemical_formula_sum 'Ca4 Ta2 P2 N10'
_space_group_name_H-M_alt 'P 1'
_space_group_IT_number 1
_cell_length_a 3.092
_cell_length_b 7.148
_cell_length_c 10.979
_cell_angle_alpha 90.00
_cell_angle_beta 90.00
_cell_angle_gamma 102.47
loop_
_space_group_symop_operation_xyz
'x,y,z'
loop_
_atom_site_label
_atom_site_fract_x
_atom_site_fract_y
_atom_site_fract_z
N1 0.504 0.007 0.790
N2 0.348 0.695 0.010
N3 0.043 0.085 0.995
N4 0.496 0.993 0.290
N5 0.295 0.590 0.668
N6 0.957 0.914 0.495
N7 0.679 0.359 0.914
N8 0.321 0.641 0.414
N9 0.652 0.305 0.510
N10 0.705 0.410 0.168
P1 0.562 0.124 0.914
P2 0.438 0.876 0.414
Ca1 0.862 0.724 0.832
Ca2 0.083 0.166 0.651
Ca3 0.917 0.834 0.151
Ca4 0.138 0.276 0.332
Ta1 0.216 0.432 0.050
Ta2 0.784 0.568 0.550
```

***

(4)
PaHgPt2 | PBE-GGA | optimized geometry

Values from the calculation:
* energy relative to the lowest polymorph listed for this composition: 0.063 eV per atom
* crystal system: tetragonal
* total DFT energy (no corrections): -6.08 eV/atom
* energy of formation from the pure elements: -0.613 eV per atom

CIF file:
```
data_PaHgPt2
_chemical_formula_sum 'Pa1 Hg1 Pt2'
_space_group_name_H-M_alt 'P 1'
_space_group_IT_number 1
_cell_length_a 3.446
_cell_length_b 3.446
_cell_length_c 6.871
_cell_angle_alpha 90.00
_cell_angle_beta 90.00
_cell_angle_gamma 90.00
loop_
_space_group_symop_operation_xyz
'x,y,z'
loop_
_atom_site_label
_atom_site_fract_x
_atom_site_fract_y
_atom_site_fract_z
Hg1 0.500 0.500 0.500
Pt1 0.000 0.000 0.754
Pt2 0.000 0.000 0.246
Pa1 0.500 0.500 0.000
```